Entry 1:
The following is a SCAN calculation of MnTc3Ir at its PBEsol-relaxed geometry, from Alexandria via LeMat-Bulk.

The calculation puts the magnetic moment at 0.0 μB per formula unit. The calculation puts the density of states at the Fermi level at 1.1714 states/eV per atom. Its electronic total energy is -37.596 eV per atom.

Cell: 4.2585 4.2585 4.2585 Å, 90.00 90.00 90.00°
Fractional coordinates of all 5 atoms:
Mn 0.0000 0.0000 0.0000
Tc 0.0000 0.0000 0.5000
Tc 0.0000 0.5000 0.0000
Tc 0.5000 0.0000 0.0000
Ir 0.5000 0.5000 0.5000

Entry 2:
The following is a SCAN calculation of CeGePd2 at its PBEsol-relaxed geometry, from Alexandria via LeMat-Bulk.

The calculation puts the magnetic moment at 0.8 μB per formula unit. The calculation puts the density of states at the Fermi level at 1.2864 states/eV per atom. Its electronic total energy is -33.202 eV per atom.

Cell: 7.7887 6.8181 5.5375 Å, 90.00 90.00 90.00°
Fractional coordinates of all 16 atoms:
Ce 0.0482 0.2500 0.1542
Ce 0.4518 0.7500 0.6542
Ce 0.5482 0.2500 0.3458
Ce 0.9518 0.7500 0.8458
Ge 0.1115 0.7500 0.3384
Ge 0.3885 0.2500 0.8384
Ge 0.6115 0.7500 0.1616
Ge 0.8885 0.2500 0.6616
Pd 0.1786 0.0486 0.5963
Pd 0.1786 0.4514 0.5963
Pd 0.3214 0.5486 0.0963
Pd 0.3214 0.9514 0.0963
Pd 0.6786 0.0486 0.9037
Pd 0.6786 0.4514 0.9037
Pd 0.8214 0.5486 0.4037
Pd 0.8214 0.9514 0.4037

Entry 3:
The following is a SCAN calculation of CoF3 at its PBEsol-relaxed geometry, from Alexandria via LeMat-Bulk.

The calculation puts the magnetic moment at 2.0 μB per formula unit. The calculation puts the density of states at the Fermi level at 0.1452 states/eV per atom. Its raw formation energy is -2013 meV/atom. Its electronic total energy is -8.995 eV per atom.

Cell: 5.1115 5.1115 5.1115 Å, 56.65 56.65 56.65°
Fractional coordinates of all 8 atoms:
Co 0.0000 0.0000 0.0000
Co 0.5000 0.5000 0.5000
F 0.1276 0.7500 0.3724
F 0.2500 0.6276 0.8724
F 0.3724 0.1276 0.7500
F 0.6276 0.8724 0.2500
F 0.7500 0.3724 0.1276
F 0.8724 0.2500 0.6276

Entry 4:
The following is a SCAN calculation of MgIn2Ag at its PBEsol-relaxed geometry, from Alexandria via LeMat-Bulk.

The calculation puts the magnetic moment at 0.0 μB per formula unit. The calculation puts the density of states at the Fermi level at 0.3160 states/eV per atom. Its electronic total energy is -25.842 eV per atom.

Cell: 5.3669 5.3669 5.2744 Å, 99.14 99.14 34.26°
Fractional coordinates of all 4 atoms:
Mg 0.0000 0.0000 0.0000
In 0.2444 0.2444 0.7527
In 0.4816 0.4816 0.4775
Ag 0.7329 0.7329 0.2356

Entry 5:
The following is a SCAN calculation of CrW2IO at its PBEsol-relaxed geometry, from Alexandria via LeMat-Bulk.

The calculation puts the magnetic moment at 1.9 μB per formula unit. The calculation puts the density of states at the Fermi level at 0.8377 states/eV per atom. Its raw formation energy is 782 meV/atom. Its electronic total energy is -39.364 eV per atom.

Cell: 4.2235 4.2235 4.0529 Å, 90.00 90.00 90.00°
Fractional coordinates of all 5 atoms:
Cr 0.0000 0.0000 0.0000
W 0.0000 0.5000 0.5000
W 0.5000 0.0000 0.5000
I 0.5000 0.5000 0.0000
O 0.0000 0.0000 0.5000

Entry 6:
The following is a SCAN calculation of YCd2W at its PBEsol-relaxed geometry, from Alexandria via LeMat-Bulk.

The calculation puts the magnetic moment at 0.0 μB per formula unit. The calculation puts the density of states at the Fermi level at 0.4817 states/eV per atom. The value obtained for the energy above the most stable polymorph in this dataset is 59.2 meV/atom. Its electronic total energy is -39.082 eV per atom.

Cell: 5.1313 5.1313 3.0086 Å, 90.00 90.00 90.00°
Fractional coordinates of all 4 atoms:
Y 0.0000 0.0000 0.0000
Cd 0.0000 0.5000 0.5000
Cd 0.5000 0.0000 0.5000
W 0.5000 0.5000 0.0000

Entry 7:
The following is a SCAN calculation of Na2Mo2Au at its PBEsol-relaxed geometry, from Alexandria via LeMat-Bulk.

The calculation puts the magnetic moment at 0.0 μB per formula unit. The calculation puts the density of states at the Fermi level at 1.0185 states/eV per atom. Its electronic total energy is -28.516 eV per atom.

Cell: 7.7743 7.7743 7.7743 Å, 152.06 152.06 39.93°
Fractional coordinates of all 5 atoms:
Na 0.2500 0.7500 0.5000
Na 0.7500 0.2500 0.5000
Mo 0.0707 0.0707 0.0000
Mo 0.9293 0.9293 0.0000
Au 0.5000 0.5000 0.0000

Entry 8:
The following is a SCAN calculation of In4SiRh at its PBEsol-relaxed geometry, from Alexandria via LeMat-Bulk.

The calculation puts the magnetic moment at 0.0 μB per formula unit. The calculation puts the density of states at the Fermi level at 0.5535 states/eV per atom. Its raw formation energy is 730 meV/atom. Its electronic total energy is -28.825 eV per atom.

Cell: 5.6901 5.6901 5.6901 Å, 60.00 60.00 60.00°
Fractional coordinates of all 6 atoms:
In 0.1248 0.1248 0.1248
In 0.1248 0.1248 0.6256
In 0.1248 0.6256 0.1248
In 0.6256 0.1248 0.1248
Si 0.5000 0.5000 0.5000
Rh 0.7500 0.7500 0.7500

Which value of magnetic moment does entry 1 give? 0.0 μB per formula unit